No. 1
DFT (meta-GGA SCAN) results for a crystal of Li7V4O11F relaxed with PBEsol.

Properties
- ΔE_f (raw) (kcal/mol of atoms) = -59.37
- total energy (eV/cell) = -217.98
- magnetization (μB/atom) = 0.174

Unit cell a=4.914 b=4.919 c=9.637 alpha=84.81 beta=79.88 gamma=60.18
Space group P1 (No. 1)
Asymmetric unit:
Li 0.000 0.000 0.000
Li 0.070 0.326 0.756
Li 0.226 0.021 0.253
Li 0.426 0.658 0.744
Li 0.604 0.324 0.247
Li 0.762 0.011 0.752
Li 0.924 0.662 0.246
V 0.127 0.666 0.506
V 0.339 0.330 0.999
V 0.497 0.041 0.506
V 0.656 0.676 0.999
O 0.037 0.648 0.887
O 0.175 0.958 0.601
O 0.236 0.347 0.382
O 0.314 0.650 0.114
O 0.389 0.998 0.883
O 0.434 0.336 0.621
O 0.608 0.004 0.115
O 0.689 0.348 0.883
O 0.790 0.693 0.621
O 0.862 0.972 0.381
O 0.961 0.353 0.113
F 0.517 0.695 0.371

No. 2
DFT (meta-GGA SCAN) results for a crystal of Li2VOF4 relaxed with PBEsol.

Properties
- ΔE_f (raw) (kcal/mol of atoms) = -69.85
- total energy (eV/cell) = -267.56
- magnetization (μB/atom) = 0.125
- distance to the lowest polymorph of the same formula (kJ per mole of atoms) = 1.7

Unit cell a=6.867 b=10.677 c=4.939 alpha=90.00 beta=90.00 gamma=90.00
Space group Pna2_1 (No. 33)
Asymmetric unit:
Li 0.142 0.237 0.000
Li 0.155 0.958 0.150
V 0.175 0.571 0.097
O 0.223 0.141 0.342
F 0.086 0.456 0.469
F 0.097 0.062 0.829
F 0.097 0.707 0.315
F 0.230 0.404 0.992

> Which formula does entry 1 have?

Li7V4O11F

> The lowest magnetization belongs to which entry?

Li2VOF4

> Which of these has the lowest total energy?

Li2VOF4